1.
Entry from the Alexandria database: a relaxed structure of KAg2BiCl8 (PBE).

Summary:
As for the crystal system: tetragonal. Its raw formation energy is -728 meV per atom.

a b c (Å): 6.8970 6.8970 14.0631
angles (deg): 90.00 90.00 90.00
Last column: nearest neighbours and their distance in Å.
Space group I-4 (No. 82)
Inequivalent atoms, fractional coordinates:
K: 0.0000 0.0000 0.0000 x2  8 Cl 3.08-3.26
Ag: 0.0000 0.0000 0.5000 x2  4 Cl 2.51
Ag: 0.0000 0.5000 0.2500 x2  4 Cl 2.48
Bi: 0.0000 0.5000 0.7500 x2  8 Cl 2.81-2.94
Cl: 0.1389 0.2944 0.5801 x8  1 Ag 2.51
Cl: 0.1750 0.7888 0.1891 x8  1 Ag 2.48

2.
Entry from the Alexandria database: a relaxed structure of CuAu3S (PBE).

Summary:
The calculation puts the excess energy over the best structure of this formula in the dataset at 116.5 meV/atom. As for the crystal system: cubic. Its raw formation energy is 843 meV per atom.

a b c (Å): 4.7599 4.7599 4.7599
angles (deg): 90.00 90.00 90.00
Last column: nearest neighbours and their distance in Å.
Space group Pm-3m (No. 221)
Inequivalent atoms, fractional coordinates:
Cu: 0.0000 0.0000 0.0000 x1  6 Au 2.38
Au: 0.0000 0.0000 0.5000 x3  2 Cu 2.38
S: 0.5000 0.5000 0.5000 x1  12 Au 3.37

3.
Entry from the Alexandria database: a relaxed structure of AcPmEuCd (PBE).

Summary:
As for the crystal system: cubic. As for the formation energy: 0.05 eV/atom.

a b c (Å): 8.1997 8.1997 8.1997
angles (deg): 90.00 90.00 90.00
Last column: nearest neighbours and their distance in Å.
Space group F-43m (No. 216)
Inequivalent atoms, fractional coordinates:
Ac: 0.0000 0.0000 0.0000 x4  4 Pm 3.55, 4 Eu 3.55
Pm: 0.2500 0.2500 0.2500 x4  4 Cd 3.55, 4 Ac 3.55
Eu: 0.2500 0.2500 0.7500 x4  4 Cd 3.55, 4 Ac 3.55
Cd: 0.0000 0.0000 0.5000 x4  4 Eu 3.55, 4 Pm 3.55

4.
Entry from the Alexandria database: a relaxed structure of Zr2MnPt (PBE).

Summary:
The calculation puts the excess energy over the best structure of this formula in the dataset at 473.2 meV/atom. As for the crystal system: trigonal. As for the formation energy: -0.07 eV/atom.

a b c (Å): 3.1165 3.1165 27.4250
angles (deg): 90.00 90.00 120.00
Last column: nearest neighbours and their distance in Å.
Space group R3m (No. 160, hexagonal axes)
Inequivalent atoms, fractional coordinates:
Zr: 0.0000 0.0000 0.0000 x3  3 Mn 2.91, 9 Zr 3.12-3.18
Zr: 0.0000 0.0000 0.2376 x3  3 Pt 2.85, 9 Zr 3.12-3.18
Mn: 0.0000 0.0000 0.7501 x3  3 Pt 2.71, 3 Zr 2.91
Pt: 0.0000 0.0000 0.4905 x3  3 Mn 2.71, 3 Zr 2.85

It is found that the D(E_F) values, taken in the order of the records, are 1.113 0.018 1.548 0.981 states/eV per atom.